# BaMoSeO6

An optimized crystal structure of BaMoSeO6 (PBE with a Hubbard U, Alexandria).

Output
The value obtained for the total energy is -6.447 eV/atom. The value obtained for the calculated density is 4.81 Mg/m³. The crystal system is monoclinic.

abc: 6.3631 10.3501 8.5872
angles: 90.00 94.71 90.00
Closest atoms and distances in Å follow each position.
Space group P2_1/c (No. 14)
Unique sites:
Ba 0.2378 0.1901 0.0114 (multiplicity 4)  9 O 2.80-3.07
Mo 0.2725 0.5798 0.2281 (multiplicity 4)  3 O 1.79
Se 0.2068 0.6026 0.8225 (multiplicity 4)  3 O 1.73-1.75
O 0.0585 0.0178 0.2256 (multiplicity 4)  1 Se 1.73
O 0.0820 0.7391 0.7390 (multiplicity 4)  1 Se 1.75
O 0.1062 0.6157 0.0025 (multiplicity 4)  1 Se 1.73
O 0.3155 0.0879 0.6924 (multiplicity 4)  1 Mo 1.79
O 0.3202 0.5868 0.4365 (multiplicity 4)  1 Mo 1.79
O 0.4917 0.1550 0.3280 (multiplicity 4)  1 Mo 1.79